[1]
The following is a PBE calculation of MnIrRhS after structural relaxation, from Alexandria.

The structure in extended XYZ format:
```
8
Lattice="4.450 0.000 -0.001 0.000 2.803 0.000 -4.306 0.000 8.671" Properties=species:S:1:pos:R:3 pbc="T T T"
Mn 0.129 0.000 8.547
Mn 2.282 1.402 4.211
S 0.649 0.000 4.189
S -1.504 1.402 8.525
Ir -2.927 1.402 6.791
Ir -0.774 0.000 2.455
Rh 1.447 1.402 1.636
Rh -0.706 0.000 5.972
```

- Offset from the most stable computed form: 0.062 eV/atom
- Formation energy without anion corrections: -0.023 eV/atom

***

[2]
The following is a PBE calculation of CaBi3P after structural relaxation, from Alexandria.

The structure in extended XYZ format:
```
5
Lattice="-0.811 4.598 -3.398 0.678 -3.330 -4.669 -5.677 -1.055 -0.072" Properties=species:S:1:pos:R:3 pbc="T T T"
Ca 0.000 0.000 0.000
P -2.905 0.107 -4.069
Bi -0.405 2.299 -1.699
Bi -2.838 -0.527 -0.036
Bi 0.339 -1.665 -2.334
```

- Offset from the most stable computed form: 0.920 eV/atom
- Energy of formation from the pure elements: 1028 meV/atom

***

[3]
The following is a PBE calculation of SrTaSb2Ru after structural relaxation, from Alexandria.

The structure in extended XYZ format:
```
5
Lattice="5.278 0.000 0.000 0.000 4.917 0.000 0.000 0.000 5.278" Properties=species:S:1:pos:R:3 pbc="T T T"
Sr 2.639 2.458 2.639
Ru 0.000 0.000 0.000
Sb 2.639 0.000 0.000
Sb 0.000 0.000 2.639
Ta 0.000 2.458 0.000
```

- Offset from the most stable computed form: 0.000 eV/atom
- Formation energy without anion corrections: 0.405 eV/atom

***

[4]
The following is a PBE calculation of Cs2K2Pd after structural relaxation, from Alexandria.

The structure in extended XYZ format:
```
10
Lattice="-3.865 3.569 -7.264 7.057 -2.455 -4.961 -3.571 -7.076 -1.577" Properties=species:S:1:pos:R:3 pbc="T T T"
Cs 1.682 -0.209 -2.870
Cs 4.585 -0.859 -6.527
Cs -1.393 1.973 -5.698
Cs 1.509 1.324 -9.355
K -1.679 -2.878 -3.991
K -2.718 -1.404 -8.250
K 1.299 -3.084 -9.812
K 2.339 -4.558 -5.552
Pd 1.596 0.557 -6.112
Pd 0.000 0.000 0.000
```

- Offset from the most stable computed form: 0.029 eV/atom
- Energy of formation from the pure elements: 200 meV/atom

***

[5]
The following is a PBE calculation of NaGaAu3 after structural relaxation, from Alexandria.

The structure in extended XYZ format:
```
5
Lattice="5.112 0.000 0.000 0.000 5.112 0.000 0.000 0.000 5.112" Properties=species:S:1:pos:R:3 pbc="T T T"
Au 2.556 0.000 0.000
Au 0.000 2.556 0.000
Au 0.000 0.000 2.556
Na 0.000 0.000 0.000
Ga 2.556 2.556 2.556
```

- Offset from the most stable computed form: 0.919 eV/atom
- Energy of formation from the pure elements: 671 meV/atom

***

[6]
The following is a PBE calculation of CrSi2W after structural relaxation, from Alexandria.

The structure in extended XYZ format:
```
4
Lattice="4.369 -0.018 -0.034 3.453 2.676 -0.034 0.836 0.284 4.590" Properties=species:S:1:pos:R:3 pbc="T T T"
Si 4.344 1.477 2.134
Si 7.806 2.653 0.058
W 6.493 2.207 3.391
Cr 2.164 0.736 1.130
```

- Offset from the most stable computed form: 0.318 eV/atom
- Formation energy without anion corrections: 0.056 eV/atom

***

[7]
The following is a PBE calculation of VSnAs2 after structural relaxation, from Alexandria.

The structure in extended XYZ format:
```
4
Lattice="-0.772 -1.132 3.139 -0.299 -3.362 0.583 7.238 -1.872 2.973" Properties=species:S:1:pos:R:3 pbc="T T T"
Sn 3.026 -3.180 3.335
As 5.740 -1.798 2.632
As 1.178 -1.573 1.591
V -0.694 -2.997 2.486
```

- Energy of formation from the pure elements: -97 meV/atom

***

[8]
The following is a PBE calculation of NaFeTe after structural relaxation, from Alexandria.

The structure in extended XYZ format:
```
6
Lattice="4.159 0.000 0.000 0.000 4.159 0.000 0.000 0.000 7.202" Properties=species:S:1:pos:R:3 pbc="T T T"
Fe 2.080 2.080 3.601
Fe 0.000 0.000 3.601
Te 0.000 2.080 2.163
Te 2.080 0.000 5.038
Na 0.000 2.080 6.027
Na 2.080 0.000 1.174
```

- Formation energy without anion corrections: -0.119 eV/atom

***

[9]
The following is a PBE calculation of CsPdN2O after structural relaxation, from Alexandria.

The structure in extended XYZ format:
```
5
Lattice="4.728 0.000 0.000 0.000 4.728 0.000 0.000 0.000 4.407" Properties=species:S:1:pos:R:3 pbc="T T T"
N 0.000 2.364 0.000
N 2.364 0.000 0.000
Cs 0.000 0.000 0.000
O 0.000 0.000 2.203
Pd 2.364 2.364 2.203
```

- Formation energy without anion corrections: 2.591 eV/atom

***

[10]
The following is a PBE calculation of MnNbRu2 after structural relaxation, from Alexandria.

The structure in extended XYZ format:
```
8
Lattice="-2.478 -0.861 -2.813 -2.427 -1.478 2.591 -6.216 6.634 0.815" Properties=species:S:1:pos:R:3 pbc="T T T"
Nb -5.573 2.302 -1.054
Nb 0.000 0.000 0.000
Ru -8.849 2.992 0.306
Ru -3.488 0.590 1.350
Ru -6.606 4.034 0.640
Ru -3.299 0.973 -1.109
Mn -2.453 -1.170 -0.111
Mn -5.548 1.993 1.648
```

- Offset from the most stable computed form: 0.688 eV/atom
- Energy of formation from the pure elements: 520 meV/atom

***

[11]
The following is a PBE calculation of PuIn2Ge after structural relaxation, from Alexandria.

The structure in extended XYZ format:
```
4
Lattice="3.316 0.000 0.000 1.658 2.872 0.000 1.658 0.957 11.117" Properties=species:S:1:pos:R:3 pbc="T T T"
Ge 3.316 1.915 5.559
In 1.658 0.957 7.914
In 4.974 2.872 3.203
Pu 0.000 0.000 0.000
```

- Offset from the most stable computed form: 0.535 eV/atom
- Energy of formation from the pure elements: 265 meV/atom

***

[12]
The following is a PBE calculation of ZrIn2Pt after structural relaxation, from Alexandria.

The structure in extended XYZ format:
```
8
Lattice="-6.721 3.752 -1.477 -2.115 -5.725 -4.917 -5.689 -2.400 -1.005" Properties=species:S:1:pos:R:3 pbc="T T T"
Zr -4.418 -0.986 -3.197
Zr -6.111 -4.555 -4.559
Pt -8.414 0.183 -2.839
Pt 0.000 0.000 0.000
In -7.509 -2.348 -2.986
In -3.359 -3.835 -3.459
In -6.112 1.155 -1.838
In -12.069 -3.718 -6.513
```

- Energy of formation from the pure elements: -234 meV/atom

***

- What is the formula in the third record?
  SrTaSb2Ru

***

- Number 8 is which compound?
  NaFeTe

***

Please write out number 7 again, unchanged.
The following is a PBE calculation of VSnAs2 after structural relaxation, from Alexandria.

The structure in extended XYZ format:
```
4
Lattice="-0.772 -1.132 3.139 -0.299 -3.362 0.583 7.238 -1.872 2.973" Properties=species:S:1:pos:R:3 pbc="T T T"
Sn 3.026 -3.180 3.335
As 5.740 -1.798 2.632
As 1.178 -1.573 1.591
V -0.694 -2.997 2.486
```

- Energy of formation from the pure elements: -97 meV/atom